#one
Below is a relaxed ReHgI crystal, with properties calculated at the GGA-PBE level.

```
6
Lattice="3.7102 0.0000 0.0000 -0.0047 5.6933 0.0000 -0.0380 -1.7111 7.8929" Properties=species:S:1:pos:R:3 pbc="T T T"
Re 0.0000 0.0000 0.0000
Re 1.8133 2.7621 7.0607
Hg 1.7551 3.4421 4.4663
Hg 3.6626 0.4841 6.0511
I -0.0109 -0.2937 2.7020
I 1.8508 2.4246 0.9700
```

Output
Mass density: 10.23 Mg/m³
Size of the total moment: 0.000 μB per formula unit

***

#two
Below is a relaxed ReHgI crystal, with properties calculated at the GGA-PBE level.

```
3
Lattice="3.3541 0.0000 0.0000 -1.6771 2.9047 0.0000 0.0000 0.0000 6.9162" Properties=species:S:1:pos:R:3 pbc="T T T"
Re 0.0000 0.0000 0.0000
Hg 0.0000 1.9365 2.1571
I 1.6771 0.9682 5.0792
```

Output
Mass density: 12.66 Mg/m³
Size of the total moment: 0.000 μB per formula unit

***

Most stable: #one (next structure +534 meV/atom)

***

#one
Below is a relaxed ReHgI2 crystal, with properties calculated at the GGA-PBE level.

```
4
Lattice="0.0000 3.6168 3.6168 3.6168 0.0000 3.6168 3.6168 3.6168 0.0000" Properties=species:S:1:pos:R:3 pbc="T T T"
Re 0.0000 0.0000 0.0000
Hg 3.6168 3.6168 3.6168
I 1.8084 1.8084 1.8084
I 5.4252 5.4252 5.4252
```

Output
Mass density: 11.24 Mg/m³
Size of the total moment: 0.000 μB per formula unit

***

#two
Below is a relaxed ReHgI2 crystal, with properties calculated at the GGA-PBE level.

```
8
Lattice="-4.0973 4.0973 4.3548 4.0973 -4.0973 4.3548 4.0973 4.0973 -4.3548" Properties=species:S:1:pos:R:3 pbc="T T T"
Re 0.0000 0.0000 0.0000
Re 0.0000 4.0973 2.1774
Hg 4.0973 0.0000 2.1774
Hg 0.0000 0.0000 4.3548
I 6.1460 1.1501 -1.0887
I 1.1501 2.0487 1.0887
I -2.0487 2.9472 3.2661
I 2.9472 2.0487 5.4435
```

Output
Mass density: 7.28 Mg/m³
Size of the total moment: 0.000 μB per formula unit

***

Most stable: #two (next structure +593 meV/atom)

***

#one
Below is a relaxed ReHgSbI2 crystal, with properties calculated at the GGA-PBE level.

```
5
Lattice="5.8849 0.0000 0.0000 0.0000 5.8849 0.0000 0.0000 0.0000 5.6931" Properties=species:S:1:pos:R:3 pbc="T T T"
Re 0.0000 0.0000 0.0000
Hg 2.9425 2.9425 2.8465
Sb 2.9425 2.9425 0.0000
I 0.0000 2.9425 2.8465
I 2.9425 0.0000 2.8465
```

Output
Mass density: 6.42 Mg/m³
Size of the total moment: 4.059 μB per formula unit

***

#two
Below is a relaxed ReHgSbI2 crystal, with properties calculated at the GGA-PBE level.

```
5
Lattice="5.6586 0.0000 0.0000 0.0000 5.6586 0.0000 0.0000 0.0000 5.1407" Properties=species:S:1:pos:R:3 pbc="T T T"
Re 0.0000 0.0000 0.0000
Hg 2.8293 2.8293 2.5704
Sb 0.0000 0.0000 2.5704
I 0.0000 2.8293 0.0000
I 2.8293 0.0000 0.0000
```

Output
Mass density: 7.69 Mg/m³
Size of the total moment: 1.383 μB per formula unit

***

Most stable: #two (next structure +957 meV/atom)

***

#one
Below is a relaxed ReHgTe2I crystal, with properties calculated at the GGA-PBE level.

```
5
Lattice="5.6378 0.0000 0.0000 0.0000 5.6378 0.0000 0.0000 0.0000 5.8210" Properties=species:S:1:pos:R:3 pbc="T T T"
Re 0.0000 0.0000 0.0000
Hg 2.8189 2.8189 2.9105
Te 0.0000 2.8189 2.9105
Te 2.8189 0.0000 2.9105
I 2.8189 2.8189 0.0000
```

Output
Mass density: 6.90 Mg/m³
Size of the total moment: 4.791 μB per formula unit

***

#two
Below is a relaxed ReHgTe2I crystal, with properties calculated at the GGA-PBE level.

```
5
Lattice="5.1860 0.0000 0.0000 0.0000 5.1860 0.0000 0.0000 0.0000 5.8897" Properties=species:S:1:pos:R:3 pbc="T T T"
Re 0.0000 0.0000 0.0000
Hg 2.5930 2.5930 2.9449
Te 0.0000 2.5930 0.0000
Te 2.5930 0.0000 0.0000
I 0.0000 0.0000 2.9449
```

Output
Mass density: 8.06 Mg/m³
Size of the total moment: 0.000 μB per formula unit

***

Most stable: #two (next structure +1073 meV/atom)

***

#one
Below is a relaxed ReHgTeI2 crystal, with properties calculated at the GGA-PBE level.

```
5
Lattice="5.6864 0.0000 0.0000 0.0000 5.6864 0.0000 0.0000 0.0000 5.1071" Properties=species:S:1:pos:R:3 pbc="T T T"
Re 0.0000 0.0000 0.0000
Hg 2.8432 2.8432 2.5535
Te 0.0000 0.0000 2.5535
I 0.0000 2.8432 0.0000
I 2.8432 0.0000 0.0000
```

Output
Mass density: 7.72 Mg/m³
Size of the total moment: 1.028 μB per formula unit

***

#two
Below is a relaxed ReHgTeI2 crystal, with properties calculated at the GGA-PBE level.

```
5
Lattice="5.8466 0.0000 0.0000 0.0000 5.8466 0.0000 0.0000 0.0000 5.7323" Properties=species:S:1:pos:R:3 pbc="T T T"
Re 0.0000 0.0000 0.0000
Hg 2.9233 2.9233 2.8662
Te 2.9233 2.9233 0.0000
I 0.0000 2.9233 2.8662
I 2.9233 0.0000 2.8662
```

Output
Mass density: 6.51 Mg/m³
Size of the total moment: 5.238 μB per formula unit

***

Most stable: #one (next structure +928 meV/atom)

***

#one
Below is a relaxed HgRh2I crystal, with properties calculated at the GGA-PBE level.

```
8
Lattice="-3.1204 3.1204 5.5491 3.1204 -3.1204 5.5491 3.1204 3.1204 -5.5491" Properties=species:S:1:pos:R:3 pbc="T T T"
Hg 0.0000 0.0000 0.0000
Hg 0.0000 3.1204 2.7746
Rh 1.5602 -1.4087 4.1618
Rh 1.7117 1.5602 1.3873
Rh 1.5602 4.5292 -1.3873
Rh 1.4087 1.5602 6.9364
I 3.1204 0.0000 2.7746
I 0.0000 0.0000 5.5491
```

Output
Mass density: 8.19 Mg/m³
Size of the total moment: 0.000 μB per formula unit

***

#two
Below is a relaxed HgRh2I crystal, with properties calculated at the GGA-PBE level.

```
4
Lattice="0.0000 3.3355 3.3355 3.3355 0.0000 3.3355 3.3355 3.3355 0.0000" Properties=species:S:1:pos:R:3 pbc="T T T"
Hg 0.0000 0.0000 0.0000
Rh 1.6678 1.6678 1.6678
Rh 5.0033 5.0033 5.0033
I 3.3355 3.3355 3.3355
```

Output
Mass density: 11.93 Mg/m³
Size of the total moment: 0.000 μB per formula unit

***

Most stable: #two (next structure +150 meV/atom)

***

#one
Below is a relaxed HgSb2RhI crystal, with properties calculated at the GGA-PBE level.

```
5
Lattice="5.4572 0.0000 0.0000 0.0000 5.4572 0.0000 0.0000 0.0000 5.8013" Properties=species:S:1:pos:R:3 pbc="T T T"
Hg 0.0000 0.0000 0.0000
Sb 0.0000 2.7286 0.0000
Sb 2.7286 0.0000 0.0000
Rh 2.7286 2.7286 2.9006
I 0.0000 0.0000 2.9006
```

Output
Mass density: 6.48 Mg/m³
Size of the total moment: 0.000 μB per formula unit

***

#two
Below is a relaxed HgSb2RhI crystal, with properties calculated at the GGA-PBE level.

```
5
Lattice="5.1342 0.0000 0.0000 0.0000 5.1342 0.0000 0.0000 0.0000 5.7877" Properties=species:S:1:pos:R:3 pbc="T T T"
Hg 0.0000 0.0000 0.0000
Sb 0.0000 2.5671 2.8938
Sb 2.5671 0.0000 2.8938
Rh 2.5671 2.5671 2.8938
I 2.5671 2.5671 0.0000
```

Output
Mass density: 7.34 Mg/m³
Size of the total moment: 0.000 μB per formula unit

***

Most stable: #two (next structure +1065 meV/atom)

***

#one
Below is a relaxed HgTe2RhI crystal, with properties calculated at the GGA-PBE level.

```
5
Lattice="5.2329 0.0000 0.0000 0.0000 5.2329 0.0000 0.0000 0.0000 5.6319" Properties=species:S:1:pos:R:3 pbc="T T T"
Hg 0.0000 0.0000 0.0000
Te 0.0000 2.6164 2.8159
Te 2.6164 0.0000 2.8159
Rh 2.6164 2.6164 2.8159
I 2.6164 2.6164 0.0000
```

Output
Mass density: 7.38 Mg/m³
Size of the total moment: 0.000 μB per formula unit

***

#two
Below is a relaxed HgTe2RhI crystal, with properties calculated at the GGA-PBE level.

```
5
Lattice="5.5709 0.0000 0.0000 0.0000 5.5709 0.0000 0.0000 0.0000 5.9510" Properties=species:S:1:pos:R:3 pbc="T T T"
Hg 0.0000 0.0000 0.0000
Te 0.0000 2.7854 0.0000
Te 2.7854 0.0000 0.0000
Rh 2.7854 2.7854 2.9755
I 0.0000 0.0000 2.9755
```

Output
Mass density: 6.16 Mg/m³
Size of the total moment: 3.121 μB per formula unit

***

Most stable: #one (next structure +901 meV/atom)

***

#one
Below is a relaxed HgRu2I crystal, with properties calculated at the GGA-PBE level.

```
8
Lattice="-3.6175 3.6175 3.1110 3.6175 -3.6175 3.1110 3.6175 3.6175 -3.1110" Properties=species:S:1:pos:R:3 pbc="T T T"
Hg 0.0000 0.0000 0.0000
Hg 0.0000 3.6175 1.5555
Ru 1.8087 -1.5633 2.3333
Ru 2.0542 1.8087 0.7778
Ru 1.8087 5.1807 -0.7778
Ru 1.5633 1.8087 3.8888
I 3.6175 0.0000 1.5555
I 0.0000 0.0000 3.1110
```

Output
Mass density: 10.80 Mg/m³
Size of the total moment: 0.000 μB per formula unit

***

#two
Below is a relaxed HgRu2I crystal, with properties calculated at the GGA-PBE level.

```
4
Lattice="0.0000 3.3020 3.3020 3.3020 0.0000 3.3020 3.3020 3.3020 0.0000" Properties=species:S:1:pos:R:3 pbc="T T T"
Hg 0.0000 0.0000 0.0000
Ru 1.6510 1.6510 1.6510
Ru 4.9529 4.9529 4.9529
I 3.3020 3.3020 3.3020
```

Output
Mass density: 12.21 Mg/m³
Size of the total moment: 0.734 μB per formula unit

***

Most stable: #two (next structure +188 meV/atom)

***

#one
Below is a relaxed HgTe2RuI crystal, with properties calculated at the GGA-PBE level.

```
5
Lattice="5.5938 0.0000 0.0000 0.0000 5.5938 0.0000 0.0000 0.0000 5.8547" Properties=species:S:1:pos:R:3 pbc="T T T"
Hg 0.0000 0.0000 0.0000
Te 0.0000 2.7969 0.0000
Te 2.7969 0.0000 0.0000
Ru 2.7969 2.7969 2.9274
I 0.0000 0.0000 2.9274
```

Output
Mass density: 6.20 Mg/m³
Size of the total moment: 4.090 μB per formula unit

***

#two
Below is a relaxed HgTe2RuI crystal, with properties calculated at the GGA-PBE level.

```
5
Lattice="5.1704 0.0000 0.0000 0.0000 5.1704 0.0000 0.0000 0.0000 5.7885" Properties=species:S:1:pos:R:3 pbc="T T T"
Hg 0.0000 0.0000 0.0000
Te 0.0000 2.5852 2.8942
Te 2.5852 0.0000 2.8942
Ru 2.5852 2.5852 2.8942
I 2.5852 2.5852 0.0000
```

Output
Mass density: 7.34 Mg/m³
Size of the total moment: 0.000 μB per formula unit

***

Most stable: #two (next structure +981 meV/atom)

***

#one
Below is a relaxed HgSI crystal, with properties calculated at the GGA-PBE level.

```
6
Lattice="5.7562 -4.2673 0.0000 5.7562 4.2673 0.0000 -0.5066 0.0000 4.2428" Properties=species:S:1:pos:R:3 pbc="T T T"
Hg 5.7562 2.4653 0.0000
Hg 5.7562 -2.4653 0.0000
S 4.1562 3.2234 1.8350
S 4.1562 -3.2234 1.8350
I 2.2742 0.0000 0.1385
I 6.3001 0.0000 3.3164
```

Output
Mass density: 5.73 Mg/m³
Size of the total moment: 0.000 μB per formula unit

***

#two
Below is a relaxed HgSI crystal, with properties calculated at the GGA-PBE level.

```
6
Lattice="4.9519 0.0000 0.0000 1.1483 6.9803 0.0000 1.1285 3.0890 6.2842" Properties=species:S:1:pos:R:3 pbc="T T T"
Hg 0.5815 2.4243 1.5879
Hg 6.6472 7.6450 4.6963
S 3.4999 7.8518 2.7562
S 3.7288 2.2175 3.5279
I 1.6706 5.0566 1.0099
I 5.5581 5.0127 5.2743
```

Output
Mass density: 5.50 Mg/m³
Size of the total moment: 0.000 μB per formula unit

***

Most stable: #two (next structure +31 meV/atom)

***

#one
Below is a relaxed HgSI crystal, with properties calculated at the GGA-PBE level.

```
6
Lattice="4.4986 0.0000 0.0000 -0.0741 5.8723 0.0000 -1.2593 -1.8854 7.4521" Properties=species:S:1:pos:R:3 pbc="T T T"
Hg 0.0000 0.0000 0.0000
Hg 0.1074 0.6685 4.6705
S 0.4482 3.6094 0.8183
S 2.9764 0.5515 6.7558
I 0.9518 3.5581 5.1820
I 2.2276 0.6470 2.6541
```

Output
Mass density: 6.07 Mg/m³
Size of the total moment: 0.000 μB per formula unit

***

#two
Below is a relaxed HgSI crystal, with properties calculated at the GGA-PBE level.

```
6
Lattice="4.0762 -2.2481 0.0000 4.0762 2.2481 0.0000 -0.2518 0.0000 11.9174" Properties=species:S:1:pos:R:3 pbc="T T T"
Hg 0.3025 0.0000 3.5136
Hg 7.5982 0.0000 8.4037
S 3.3803 0.7226 5.1108
S 4.5204 0.7226 6.8066
I 2.2904 -0.6609 10.1904
I 5.6103 -0.6609 1.7270
```

Output
Mass density: 5.47 Mg/m³
Size of the total moment: 0.000 μB per formula unit

***

Most stable: #two (next structure +46 meV/atom)